Record 1
{
  "formula": "CaNiCl2",
  "functional": "PBE",
  "state": "optimized geometry",
  "lattice_angstrom": [[5.036, -1.931, 0.000], [5.036, 1.931, 0.000], [-0.175, 0.000, 4.514]],
  "species": ["Ca", "Ni", "Cl", "Cl"],
  "fractional_positions": [[0.000, 0.000, 0.000], [0.708, 0.708, 0.803], [0.283, 0.283, 0.959], [0.536, 0.536, 0.480]],
  "raw_formation_energy_ev_per_atom": -1.09,
  "crystal_system": "monoclinic",
  "relative_energy_ev_per_fu": 0.372
}

Record 2
{
  "formula": "Sm2DyEr2Th2",
  "functional": "PBE",
  "state": "optimized geometry",
  "lattice_angstrom": [[8.770, -1.680, 0.000], [8.770, 1.680, 0.000], [-4.321, 0.000, 7.817]],
  "species": ["Sm", "Sm", "Dy", "Er", "Er", "Th", "Th"],
  "fractional_positions": [[0.204, 0.204, 0.123], [0.796, 0.796, 0.877], [0.500, 0.500, 0.000], [0.350, 0.350, 0.575], [0.650, 0.650, 0.425], [0.432, 0.432, 0.295], [0.568, 0.568, 0.705]],
  "crystal_system": "monoclinic",
  "ef_mev_per_atom": 254
}

Record 3
{
  "formula": "TlHgGe2W",
  "functional": "PBE",
  "state": "optimized geometry",
  "lattice_angstrom": [[5.139, 0.000, 0.000], [0.000, 5.139, 0.000], [0.000, 0.000, 5.532]],
  "species": ["Tl", "Hg", "Ge", "Ge", "W"],
  "fractional_positions": [[0.000, 0.000, 0.000], [0.000, 0.000, 0.500], [0.000, 0.500, 0.500], [0.500, 0.000, 0.500], [0.500, 0.500, 0.000]],
  "crystal_system": "tetragonal",
  "ef_mev_per_atom": 1770
}

| no. | size of the total moment (μB/f.u.) |
| --- | --- |
| 1 | 0.0 |
| 2 | 0.0 |
| 3 | 3.7 |